No. 1
The following is a GGA-PBE calculation of an optimized crystal structure of YHo2Sc7, from the Alexandria database.

Properties
Space-group type   P-1
Relative energy among the computed polymorphs   0 meV per atom
Formation energy   0.6 eV per formula unit

POSCAR file:
```
YHo2Sc7
1.0
-1.365 -2.906 -4.785
1.957 -6.505 5.708
-5.499 6.874 0.849
Y Ho Sc
1 2 7
direct
0.000 0.000 0.000
0.397 0.603 0.397
0.603 0.397 0.603
0.104 0.906 0.601
0.896 0.094 0.399
0.298 0.697 0.800
0.702 0.303 0.200
0.201 0.798 0.202
0.799 0.202 0.798
0.500 0.500 0.000
```

No. 2
The following is a GGA-PBE calculation of an optimized crystal structure of Mn2Se, from the Alexandria database.

Properties
E_form (uncorrected)   0.51 eV per atom
Space-group type   Fd-3m

POSCAR file:
```
Mn2Se
1.0
2.997 -4.023 -0.511
-1.588 -4.011 -2.611
2.050 -1.063 -4.482
Mn Se
4 2
direct
0.625 0.125 0.125
0.125 0.625 0.125
0.125 0.125 0.625
0.125 0.125 0.125
0.500 0.500 0.500
0.750 0.750 0.750
```

No. 3
The following is a GGA-PBE calculation of an optimized crystal structure of PmNd6Dy3Y2, from the Alexandria database.

Properties
Space-group type   C2/m
Formation energy   0.1 eV per formula unit

POSCAR file:
```
PmNd6Dy3Y2
1.0
6.296 -0.001 0.016
-3.147 5.453 0.016
-1.077 -1.864 11.739
Pm Nd Dy Y
1 6 3 2
direct
0.000 0.000 0.000
0.916 0.583 0.748
0.751 0.751 0.252
0.084 0.417 0.252
0.583 0.916 0.748
0.249 0.249 0.748
0.417 0.084 0.252
0.167 0.833 0.500
0.833 0.167 0.500
0.500 0.500 0.500
0.333 0.667 0.000
0.667 0.333 0.000
```

no.,D(E_F) (states/eV/cell),mass density (Mg/m³)
1,16.66,4.61
2,4.39,6.92
3,14.56,6.90